Entry i
Below is a geometry-optimized DyMgNO structure, with properties calculated at the GGA-PBE level.

Properties
**Magnetization**: 0.000 μB per atom

Cell: 3.339 3.339 4.524 Å, 90.00 90.00 90.00°
Space group P4/mmm (No. 123)
One atom of each set of equivalent atoms:
Dy (0.000, 0.000, 0.000) x1
Mg (0.500, 0.500, 0.500) x1
N (0.500, 0.500, 0.000) x1
O (0.000, 0.000, 0.500) x1

=====

Entry ii
Below is a geometry-optimized DyMgNO structure, with properties calculated at the GGA-PBE level.

Properties
**Magnetization**: 0.000 μB per atom

Cell: 5.899 7.647 4.976 Å, 90.00 90.00 90.00°
Space group Pca2_1 (No. 29)
One atom of each set of equivalent atoms:
Dy (0.056, 0.143, 0.000) x4
Mg (0.078, 0.610, 0.974) x4
N (0.062, 0.142, 0.522) x4
O (0.099, 0.596, 0.572) x4

=====

The data favor entry ii; the next most stable structure lies 43 meV/atom above it.

=====

Entry i
Below is a geometry-optimized DyMgNO structure, with properties calculated at the GGA-PBE level.

Properties
**Magnetization**: 0.000 μB per atom

Cell: 3.553 6.067 5.618 Å, 90.00 90.00 90.00°
Space group Pmc2_1 (No. 26)
One atom of each set of equivalent atoms:
Dy (0.000, 0.179, 0.000) x2
Mg (0.500, 0.346, 0.501) x2
N (0.500, 0.342, 0.864) x2
O (0.000, 0.178, 0.398) x2

=====

Entry ii
Below is a geometry-optimized DyMgNO structure, with properties calculated at the GGA-PBE level.

Properties
**Magnetization**: 0.000 μB per atom

Cell: 3.868 6.119 4.857 Å, 90.00 90.00 90.00°
Space group Pmc2_1 (No. 26)
One atom of each set of equivalent atoms:
Dy (0.000, 0.188, 0.000) x2
Mg (0.500, 0.327, 0.521) x2
N (0.000, 0.182, 0.485) x2
O (0.500, 0.353, 0.949) x2

=====

The data favor entry ii; the next most stable structure lies 97 meV/atom above it.

=====

Entry i
Below is a geometry-optimized NaDyMgS3 structure, with properties calculated at the GGA-PBE level.

Properties
**Magnetization**: 0.000 μB per atom

Cell: 4.003 13.059 10.805 Å, 90.00 90.00 90.00°
Space group Cmcm (No. 63)
One atom of each set of equivalent atoms:
Na (0.000, 0.250, 0.250) x4
Dy (0.000, 0.000, 0.000) x4
Mg (0.000, 0.471, 0.750) x4
S (0.000, 0.079, 0.750) x4
S (0.000, 0.369, 0.568) x8

=====

Entry ii
Below is a geometry-optimized NaDyMgS3 structure, with properties calculated at the GGA-PBE level.

Properties
**Magnetization**: 0.000 μB per atom

Cell: 14.195 3.999 11.113 Å, 90.00 90.00 90.00°
Space group Pnma (No. 62)
One atom of each set of equivalent atoms:
Na (0.211, 0.250, 0.207) x4
Dy (0.038, 0.750, 0.856) x4
Mg (0.039, 0.250, 0.596) x4
S (0.059, 0.250, 0.375) x4
S (0.088, 0.750, 0.088) x4
S (0.151, 0.250, 0.761) x4

=====

The data favor entry ii; the next most stable structure lies 48 meV/atom above it.

=====

Entry i
Below is a geometry-optimized NaDyMgSe3 structure, with properties calculated at the GGA-PBE level.

Properties
**Magnetization**: 0.000 μB per atom

Cell: 8.242 4.200 10.361 Å, 90.00 105.15 90.00°
Space group P2_1/m (No. 11)
One atom of each set of equivalent atoms:
Na (0.182, 0.250, 0.162) x2
Dy (0.332, 0.750, 0.857) x2
Mg (0.074, 0.250, 0.608) x2
Se (0.087, 0.250, 0.856) x2
Se (0.227, 0.750, 0.557) x2
Se (0.434, 0.750, 0.143) x2

=====

Entry ii
Below is a geometry-optimized NaDyMgSe3 structure, with properties calculated at the GGA-PBE level.

Properties
**Magnetization**: 0.001 μB per atom

Cell: 4.142 13.670 11.160 Å, 90.00 90.00 90.00°
Space group Cmcm (No. 63)
One atom of each set of equivalent atoms:
Na (0.000, 0.247, 0.250) x4
Dy (0.000, 0.000, 0.000) x4
Mg (0.000, 0.471, 0.750) x4
Se (0.000, 0.083, 0.750) x4
Se (0.000, 0.365, 0.566) x8

=====

Entry iii
Below is a geometry-optimized NaDyMgSe3 structure, with properties calculated at the GGA-PBE level.

Properties
**Magnetization**: 0.000 μB per atom

Cell: 13.952 4.166 11.270 Å, 90.00 90.00 90.00°
Space group Pnma (No. 62)
One atom of each set of equivalent atoms:
Na (0.242, 0.250, 0.077) x4
Dy (0.024, 0.250, 0.349) x4
Mg (0.014, 0.750, 0.099) x4
Se (0.093, 0.750, 0.887) x4
Se (0.105, 0.250, 0.577) x4
Se (0.144, 0.750, 0.254) x4

=====

The data favor entry i; the next most stable structure lies 18 meV/atom above it.

=====

Entry i
Below is a geometry-optimized NaDyMgTe3 structure, with properties calculated at the GGA-PBE level.

Properties
**Magnetization**: 0.000 μB per atom

Cell: 8.828 4.443 10.520 Å, 90.00 104.57 90.00°
Space group P2_1/m (No. 11)
One atom of each set of equivalent atoms:
Na (0.204, 0.250, 0.224) x2
Dy (0.327, 0.750, 0.859) x2
Mg (0.084, 0.250, 0.605) x2
Te (0.082, 0.250, 0.866) x2
Te (0.240, 0.750, 0.536) x2
Te (0.438, 0.750, 0.160) x2

=====

Entry ii
Below is a geometry-optimized NaDyMgTe3 structure, with properties calculated at the GGA-PBE level.

Properties
**Magnetization**: 0.000 μB per atom

Cell: 4.405 14.733 11.774 Å, 90.00 90.00 90.00°
Space group Cmcm (No. 63)
One atom of each set of equivalent atoms:
Na (0.000, 0.239, 0.250) x4
Dy (0.000, 0.000, 0.000) x4
Mg (0.000, 0.472, 0.750) x4
Te (0.000, 0.089, 0.750) x4
Te (0.000, 0.361, 0.562) x8

=====

The data favor entry i; the next most stable structure lies 5 meV/atom above it.

=====

Entry i
Below is a geometry-optimized DyMgTa structure, with properties calculated at the GGA-PBE level.

Properties
**Magnetization**: 0.017 μB per atom

Cell: 6.751 6.751 6.751 Å, 90.00 90.00 90.00°
Space group F-43m (No. 216)
One atom of each set of equivalent atoms:
Dy (0.000, 0.000, 0.000) x4
Mg (0.250, 0.250, 0.250) x4
Ta (0.000, 0.000, 0.500) x4

=====

Entry ii
Below is a geometry-optimized DyMgTa structure, with properties calculated at the GGA-PBE level.

Properties
**Magnetization**: 0.583 μB per atom

Cell: 6.944 6.944 6.944 Å, 90.00 90.00 90.00°
Space group F-43m (No. 216)
One atom of each set of equivalent atoms:
Dy (0.000, 0.000, 0.000) x4
Mg (0.250, 0.250, 0.750) x4
Ta (0.250, 0.250, 0.250) x4

=====

The data favor entry i; the next most stable structure lies 356 meV/atom above it.

=====

Entry i
Below is a geometry-optimized DyYMg structure, with properties calculated at the GGA-PBE level.

Properties
**Magnetization**: 0.004 μB per atom

Cell: 3.692 17.153 5.453 Å, 90.00 90.00 90.00°
Space group Cmcm (No. 63)
One atom of each set of equivalent atoms:
Dy (0.000, 0.227, 0.250) x4
Y (0.000, 0.091, 0.750) x4
Mg (0.000, 0.433, 0.750) x4

=====

Entry ii
Below is a geometry-optimized DyYMg structure, with properties calculated at the GGA-PBE level.

Properties
**Magnetization**: 0.000 μB per atom

Cell: 3.679 17.184 5.485 Å, 90.00 90.00 90.00°
Space group Cmcm (No. 63)
One atom of each set of equivalent atoms:
Dy (0.000, 0.092, 0.250) x4
Y (0.000, 0.226, 0.750) x4
Mg (0.000, 0.434, 0.250) x4

=====

The data favor entry i; the next most stable structure lies 17 meV/atom above it.

=====

Entry i
Below is a geometry-optimized DyMo structure, with properties calculated at the GGA-PBE level.

Properties
**Magnetization**: 1.505 μB per atom

Cell: 6.399 6.399 6.399 Å, 90.00 90.00 90.00°
Space group F-43m (No. 216)
One atom of each set of equivalent atoms:
Dy (0.000, 0.000, 0.000) x4
Mo (0.250, 0.250, 0.750) x4

=====

Entry ii
Below is a geometry-optimized DyMo structure, with properties calculated at the GGA-PBE level.

Properties
**Magnetization**: 0.421 μB per atom

Cell: 3.1876 3.1876 9.6631 Å, 90.00 90.00 120.00°
Space group P6_3/mmc (No. 194)
One atom of each set of equivalent atoms:
Dy (0.0000, 0.0000, 0.0000) x2
Mo (0.3333, 0.6667, 0.2500) x2

=====

Entry iii
Below is a geometry-optimized DyMo structure, with properties calculated at the GGA-PBE level.

Properties
**Magnetization**: 0.004 μB per atom

Cell: 3.0982 3.0982 5.1066 Å, 90.00 90.00 120.00°
Space group P-6m2 (No. 187)
One atom of each set of equivalent atoms:
Dy (0.0000, 0.0000, 0.0000) x1
Mo (0.6667, 0.3333, 0.5000) x1

=====

The data favor entry iii; the next most stable structure lies 33 meV/atom above it.